Below is a geometry-optimized SrCrO2F structure, with properties calculated at the PBEsol level.

a = 3.9063 Å, b = 3.8862 Å, c = 3.8862 Å
α = 90.00°, β = 90.00°, γ = 90.00°
With the nearest neighbours (Å) after each atom.
Fractional coordinates of all 5 atoms:
Sr: 0.5000 0.5000 0.5000  4 F 2.75, 8 O 2.76
F: 0.5000 0.0000 0.0000  2 Cr 1.95
O: 0.0000 0.0000 0.5000  2 Cr 1.94
O: 0.0000 0.5000 0.0000  2 Cr 1.94
Cr: 0.0000 0.0000 0.0000  4 O 1.94, 2 F 1.95

Output
density of states at the Fermi level = 2.03 states/eV per cell
calculated total energy = -7.446 eV per atom
magnetization = 3.00 μB per formula unit
uncorrected formation energy = -2.544 eV per atom